A plane-wave DFT calculation with GGA-PBE was carried out for an optimized crystal structure of SiTeAu2.

Geometry as extended XYZ:
```
4
Lattice="4.837 0.093 0.170 -1.804 4.485 0.099 1.229 2.252 4.105" Properties=species:S:1:pos:R:3 pbc="T T T"
Au 0.000 0.000 0.000
Au 3.033 1.173 2.137
Si -0.287 3.369 2.102
Te 1.516 2.289 0.134
```

Properties
space group: No. 139
volume: 21.76 Å³/atom
total moment: 0.000 μB per atom
distance to the lowest polymorph of the same formula: 0.39 eV/f.u.
raw formation energy: 0.155 eV/atom
uncorrected energy: -0.133 Ha/atom

---

A plane-wave DFT calculation with GGA-PBE was carried out for an optimized crystal structure of Li2PmSc2Pb2.

Geometry as extended XYZ:
```
7
Lattice="-0.354 0.550 4.726 -2.163 -3.338 2.635 6.618 -4.950 3.480" Properties=species:S:1:pos:R:3 pbc="T T T"
Li 0.462 -3.012 5.202
Li 3.639 -4.725 5.639
Pm 0.000 0.000 0.000
Sc 3.608 -3.327 3.066
Sc 0.493 -4.411 7.775
Pb 3.255 -5.900 8.155
Pb 0.846 -1.838 2.686
```

Properties
space group: No. 166
volume: 24.03 Å³/atom
total moment: 0.111 μB per atom
energy of formation from the pure elements: -0.33 eV/atom
uncorrected energy: -0.163 Ha/atom

---

A plane-wave DFT calculation with GGA-PBE was carried out for an optimized crystal structure of ZrCoIr2Pd.

Geometry as extended XYZ:
```
5
Lattice="4.758 0.000 0.000 0.000 4.754 0.000 0.000 0.000 4.758" Properties=species:S:1:pos:R:3 pbc="T T T"
Ir 0.000 0.000 2.379
Ir 2.379 0.000 0.000
Co 2.379 2.377 2.379
Zr 0.000 2.377 0.000
Pd 0.000 0.000 0.000
```

Properties
space group: No. 123
volume: 21.52 Å³/atom
total moment: 0.005 μB per atom
energy of formation from the pure elements: 1.73 eV/atom
uncorrected energy: -0.220 Ha/atom

---

A plane-wave DFT calculation with GGA-PBE was carried out for an optimized crystal structure of SrZnMo2.

Geometry as extended XYZ:
```
4
Lattice="10.411 -0.018 -0.011 10.010 2.863 -0.011 10.010 1.394 2.500" Properties=species:S:1:pos:R:3 pbc="T T T"
Mo 0.328 0.046 0.027
Mo 14.887 2.074 1.213
Sr 7.608 1.060 0.620
Zn 22.823 3.179 1.859
```

Properties
space group: No. 166
volume: 18.82 Å³/atom
total moment: 0.000 μB per atom
energy of formation from the pure elements: 0.96 eV/atom
uncorrected energy: -0.191 Ha/atom